1.
DFT (PBE) results for a geometry-optimized Ba2NaBe structure.

Output
Crystal system ... tetragonal
Uncorrected energy ... -1.701 eV per atom

Unit cell a=9.5087 b=9.5087 c=7.8131 alpha=90.00 beta=90.00 gamma=90.00
Last column: nearest neighbours and their distance in Å.
Atoms (fractional coordinates):
Ba 0.1873 0.2500 0.1250  2 Be 3.13
Ba 0.2500 0.6873 0.3750  2 Be 3.13
Ba 0.2500 0.8127 0.8750  2 Be 3.13
Ba 0.3127 0.2500 0.6250  2 Be 3.13
Ba 0.6873 0.7500 0.6250  2 Be 3.13
Ba 0.7500 0.1873 0.8750  2 Be 3.13
Ba 0.7500 0.3127 0.3750  2 Be 3.13
Ba 0.8127 0.7500 0.1250  2 Be 3.13
Na 0.0000 0.0000 0.5000  2 Be 3.91, 8 Ba 3.93-4.17
Na 0.0000 0.5000 0.7500  2 Be 3.91, 8 Ba 3.93-4.17
Na 0.5000 0.0000 0.2500  2 Be 3.91, 8 Ba 3.93-4.17
Na 0.5000 0.5000 0.0000  2 Be 3.91, 8 Ba 3.93-4.17
Be 0.0000 0.0000 0.0000  4 Ba 3.13
Be 0.0000 0.5000 0.2500  4 Ba 3.13
Be 0.5000 0.0000 0.7500  4 Ba 3.13
Be 0.5000 0.5000 0.5000  4 Ba 3.13

=====

2.
DFT (PBE) results for a geometry-optimized HgOs3 structure.

Output
Relative energy among the computed polymorphs ... 3923 meV per atom
Crystal system ... cubic

Unit cell a=5.0966 b=5.0966 c=5.0966 alpha=90.00 beta=90.00 gamma=90.00
Last column: nearest neighbours and their distance in Å.
Atoms (fractional coordinates):
Hg 0.0000 0.0000 0.0000  6 Os 2.55
Os 0.0000 0.0000 0.5000  2 Hg 2.55
Os 0.0000 0.5000 0.0000  2 Hg 2.55
Os 0.5000 0.0000 0.0000  2 Hg 2.55

=====

3.
DFT (PBE) results for a geometry-optimized SmZn6Pd4 structure.

Output
Crystal system ... tetragonal
Uncorrected energy ... -3.382 eV per atom

Unit cell a=6.6589 b=6.6589 c=6.6589 alpha=120.04 beta=120.04 gamma=89.92
Last column: nearest neighbours and their distance in Å.
Atoms (fractional coordinates):
Sm 0.0000 0.0000 0.0000  4 Pd 3.08, 8 Zn 3.28-3.33
Zn 0.0000 0.5000 0.5000  4 Pd 2.55
Zn 0.1248 0.1248 0.6483  4 Pd 2.49-2.64
Zn 0.4765 0.4765 0.3517  4 Pd 2.49-2.64
Zn 0.5000 0.0000 0.5000  4 Pd 2.55
Zn 0.5235 0.8752 0.0000  4 Pd 2.49-2.64
Zn 0.8752 0.5235 0.0000  4 Pd 2.49-2.64
Pd 0.2398 0.6034 0.0000  6 Zn 2.49-2.64
Pd 0.3966 0.3966 0.6363  6 Zn 2.49-2.64
Pd 0.6034 0.2398 0.0000  6 Zn 2.49-2.64
Pd 0.7602 0.7602 0.3637  6 Zn 2.49-2.64